[1]
DFT (PBE) results for a geometry-optimized NdEr6Hg2 structure.

abc: 3.706 6.550 11.630
angles: 75.18 80.83 73.57
Atoms (fractional coordinates):
Nd1 0.000 0.000 0.000
Er1 0.688 0.499 0.125
Er2 0.312 0.501 0.875
Er3 0.313 0.792 0.582
Er4 0.986 0.689 0.340
Er5 0.014 0.311 0.660
Er6 0.687 0.208 0.418
Hg1 0.350 0.082 0.219
Hg2 0.650 0.918 0.781

space group = C2/m, No. 12
formation enthalpy at 0 K = -199 meV/atom

---

[2]
DFT (PBE) results for a geometry-optimized NdEr3Hg6 structure.

abc: 5.172 9.164 11.172
angles: 107.01 90.00 90.00
Atoms (fractional coordinates):
Nd1 0.250 0.933 0.615
Nd2 0.750 0.067 0.385
Er1 0.250 0.513 0.388
Er2 0.750 0.487 0.612
Er3 0.250 0.353 0.806
Er4 0.750 0.647 0.194
Er5 0.250 0.769 0.996
Er6 0.750 0.231 0.004
Hg1 0.250 0.464 0.094
Hg2 0.750 0.536 0.906
Hg3 0.250 0.142 0.207
Hg4 0.750 0.858 0.793
Hg5 0.250 0.640 0.709
Hg6 0.750 0.360 0.291
Hg7 0.250 0.256 0.522
Hg8 0.750 0.744 0.478
Hg9 0.250 0.825 0.307
Hg10 0.750 0.175 0.693
Hg11 0.250 0.064 0.910
Hg12 0.750 0.936 0.090

space group = P2_1/m, No. 11
formation enthalpy at 0 K = -426 meV/atom

---

[3]
DFT (PBE) results for a geometry-optimized NdEr2Hg structure.

abc: 3.616 3.616 10.770
angles: 80.34 80.34 60.00
Atoms (fractional coordinates):
Nd1 0.500 0.500 0.500
Hg1 0.000 0.000 0.000
Er1 0.259 0.259 0.224
Er2 0.741 0.741 0.776

space group = R-3m, No. 166
formation enthalpy at 0 K = -173 meV/atom